Co2TcSe | meta-GGA SCAN | single point on PBEsol structure

Structure (extended XYZ):
```
4
Lattice="2.7878 0.0000 0.0000 0.0000 3.5042 0.0000 0.0000 0.0000 5.0754" Properties=species:S:1:pos:R:3 pbc="T T T"
Co 0.0000 0.0000 1.2016
Co 0.0000 0.0000 3.8738
Tc 1.3939 1.7521 0.0000
Se 1.3939 1.7521 2.5377
```

Values from the calculation:
For the volume, the calculation gives 12.4 Å³/atom. As for the raw formation energy: 460.2 meV/atom. As for the total energy: -1.6152 Ry per atom. As for the symmetry: No. 47.